Er3Co5O12: relaxed, PBE with a Hubbard U.

```
80
Lattice="10.5536 0.0000 0.0000 -3.5179 9.9500 0.0000 -3.5179 -4.9750 8.6170" Properties=species:S:1:pos:R:3 pbc="T T T"
O -1.2841 -0.6115 4.0557
O 6.1995 -3.5626 7.5613
O 0.4748 6.3056 5.8067
O -1.9074 -3.9020 8.3642
O -4.0278 -0.0620 7.1187
O 6.8872 1.0730 0.2528
O 4.3541 -0.8670 5.0039
O 2.2688 3.6465 0.6954
O 0.1485 3.2429 3.5056
O 2.2338 1.3306 2.8102
O 2.5952 4.1079 3.6131
O 2.2688 6.2415 0.8029
O 1.2841 3.6444 5.8067
O 0.9227 0.8671 5.0039
O -4.3541 2.6955 6.0595
O 1.6104 6.7071 3.5056
O 4.4406 7.6705 2.5574
O -0.9227 -2.6955 6.0595
O -3.6664 7.1449 3.2528
O -1.2490 0.0620 7.1187
O 4.0278 1.2665 7.8141
O -1.9074 2.1699 5.3641
O -2.6816 8.5376 1.0556
O -0.9227 3.5625 7.5613
O 3.3694 1.7321 5.1113
O -0.5099 3.7085 0.8029
O 4.8020 5.5865 4.5613
O -3.0430 4.3635 4.5613
O 4.0278 -1.3286 7.9216
O 7.5456 5.0371 1.4983
O 7.8719 2.2795 2.5574
O -0.8362 5.8421 3.6131
O 4.4406 1.4125 1.0556
O 1.9074 -1.7321 5.1113
O 1.2490 -1.2665 7.8141
O 3.0430 -1.3306 2.8102
O -3.3694 3.9020 8.3642
O 1.2490 1.3286 7.9216
O 5.7516 -0.7191 1.7511
O 3.9927 4.2559 6.8659
O 4.7669 4.9130 1.4983
O 5.4253 8.8770 0.2528
O 7.1842 -2.1699 5.3641
O 5.4253 2.8051 3.2528
O -0.4748 0.7191 1.7511
O -2.2338 5.6941 6.8659
O 6.5609 0.6115 4.0557
O -0.5099 6.3036 0.6954
Co 2.6384 7.4625 2.1542
Co -2.6384 5.5969 3.2314
Co 4.3973 4.3531 3.2314
Co -1.7589 -2.4875 4.3085
Co 6.1563 -0.6219 5.3856
Co 0.0000 0.0000 0.0000
Co 0.8795 3.1094 7.5398
Co 4.3973 -3.1094 7.5398
Co 5.2768 0.0000 0.0000
Co 4.3973 2.4875 6.4627
Co -1.7589 4.9750 0.0000
Co 3.5179 -2.4875 4.3085
Co -0.8795 2.4875 2.1542
Co -3.5179 2.4875 4.3085
Co 1.7589 2.4875 4.3085
Co -0.8795 0.6219 5.3856
Co -0.8795 8.0844 1.0771
Co 3.5179 4.9750 0.0000
Co 2.6384 1.8656 1.0771
Co 0.8795 -2.4875 6.4627
Er 4.3973 0.6219 3.2314
Er 6.1563 6.8406 1.0771
Er -2.6384 1.8656 7.5398
Er 2.6384 5.5969 5.3856
Er -4.3973 4.9750 6.4627
Er 2.6384 0.0000 6.4627
Er 0.8795 4.9750 2.1542
Er 0.8795 -0.6219 3.2314
Er 7.9152 0.0000 2.1542
Er 6.1563 3.1094 1.0771
Er -0.8795 4.3531 5.3856
Er -2.6384 -1.8656 7.5398
```

Summary:
Total magnetic moment (Bohr magnetons per cell): 47.8
Crystal system: cubic
Raw total energy (eV/atom): -6.885